# 1
DFT (PBE) results for a relaxed BaLi2Ca crystal.

Computed properties:
E_form: 0.0346 eV per atom
magnetization: 0.00 μB per formula unit
VASP energy: -1.903 eV/atom

```
data_BaLi2Ca
_symmetry_space_group_name_H-M 'P 4/m m m'
_symmetry_Int_Tables_number 123
_symmetry_space_group_name_Hall '-P 4 2'
_cell_length_a 4.213
_cell_length_b 4.213
_cell_length_c 8.278
_cell_angle_alpha 90.00
_cell_angle_beta 90.00
_cell_angle_gamma 90.00
loop_
_atom_site_label
_atom_site_type_symbol
_atom_site_fract_x
_atom_site_fract_y
_atom_site_fract_z
Ba1 Ba 0.000 0.000 0.000
Li1 Li 0.500 0.500 0.290
Ca1 Ca 0.000 0.000 0.500
```



# 2
DFT (PBE) results for a relaxed PmSmAl crystal.

Computed properties:
E_form: -0.1408 eV per atom
magnetization: 0.00 μB per formula unit
VASP energy: -4.545 eV/atom

```
data_PmSmAl
_symmetry_space_group_name_H-M 'P 3 m 1'
_symmetry_Int_Tables_number 156
_symmetry_space_group_name_Hall 'P 3 -2"'
_cell_length_a 5.1432
_cell_length_b 5.1432
_cell_length_c 3.6647
_cell_angle_alpha 90.00
_cell_angle_beta 90.00
_cell_angle_gamma 120.00
loop_
_atom_site_label
_atom_site_type_symbol
_atom_site_fract_x
_atom_site_fract_y
_atom_site_fract_z
Pm1 Pm 0.0000 0.0000 0.0000
Sm1 Sm 0.6667 0.3333 0.5745
Al1 Al 0.3333 0.6667 0.2939
```



# 3
DFT (PBE) results for a relaxed V2Pd2RhS6 crystal.

Computed properties:
formation energy without anion corrections: -0.546 eV per atom
magnetization: 0.00 μB per formula unit
VASP energy: -6.068 eV/atom

```
data_V2Pd2RhS6
_symmetry_space_group_name_H-M 'C 1 2/m 1'
_symmetry_Int_Tables_number 12
_symmetry_space_group_name_Hall '-C 2y'
_cell_length_a 5.666
_cell_length_b 10.547
_cell_length_c 6.073
_cell_angle_alpha 90.00
_cell_angle_beta 95.72
_cell_angle_gamma 90.00
loop_
_atom_site_label
_atom_site_type_symbol
_atom_site_fract_x
_atom_site_fract_y
_atom_site_fract_z
V1 V 0.000 0.130 0.000
Pd1 Pd 0.000 0.168 0.500
Rh1 Rh 0.000 0.500 0.000
S1 S 0.178 0.325 0.208
S2 S 0.198 0.000 0.265
```



# 4
DFT (PBE) results for a relaxed BaINO2 crystal.

Computed properties:
formation energy without anion corrections: 0.671 eV per atom
magnetization: 0.02 μB per formula unit
VASP energy: -3.672 eV/atom

```
data_BaINO2
_symmetry_space_group_name_H-M 'P 4/m m m'
_symmetry_Int_Tables_number 123
_symmetry_space_group_name_Hall '-P 4 2'
_cell_length_a 4.927
_cell_length_b 4.927
_cell_length_c 5.840
_cell_angle_alpha 90.00
_cell_angle_beta 90.00
_cell_angle_gamma 90.00
loop_
_atom_site_label
_atom_site_type_symbol
_atom_site_fract_x
_atom_site_fract_y
_atom_site_fract_z
Ba1 Ba 0.000 0.000 0.000
I1 I 0.500 0.500 0.500
N1 N 0.000 0.000 0.500
O1 O 0.000 0.500 0.000
```



# 5
DFT (PBE) results for a relaxed TmNb4 crystal.

Computed properties:
E_form: 1.9811 eV per atom
magnetization: 0.00 μB per formula unit
VASP energy: -6.969 eV/atom

```
data_TmNb4
_symmetry_space_group_name_H-M 'P m -3 m'
_symmetry_Int_Tables_number 221
_symmetry_space_group_name_Hall '-P 4 2 3'
_cell_length_a 4.818
_cell_length_b 4.818
_cell_length_c 4.818
_cell_angle_alpha 90.00
_cell_angle_beta 90.00
_cell_angle_gamma 90.00
loop_
_atom_site_label
_atom_site_type_symbol
_atom_site_fract_x
_atom_site_fract_y
_atom_site_fract_z
Tm1 Tm 0.000 0.000 0.000
Nb1 Nb 0.000 0.000 0.500
Nb2 Nb 0.500 0.500 0.500
```



# 6
DFT (PBE) results for a relaxed Li2Zn2Tc crystal.

Computed properties:
E_form: 0.0967 eV per atom
magnetization: 0.00 μB per formula unit
VASP energy: -3.252 eV/atom

```
data_Li2Zn2Tc
_symmetry_space_group_name_H-M 'P 4/m b m'
_symmetry_Int_Tables_number 127
_symmetry_space_group_name_Hall '-P 4 2ab'
_cell_length_a 7.200
_cell_length_b 7.200
_cell_length_c 2.553
_cell_angle_alpha 90.00
_cell_angle_beta 90.00
_cell_angle_gamma 90.00
loop_
_atom_site_label
_atom_site_type_symbol
_atom_site_fract_x
_atom_site_fract_y
_atom_site_fract_z
Li1 Li 0.126 0.374 0.000
Zn1 Zn 0.174 0.674 0.500
Tc1 Tc 0.000 0.000 0.000
```



Number 4 is which compound? BaINO2